1.
The following is a DFT calculation (PBE+U) of a geometry-optimized RbAcVO5 structure.

Lattice parameters (Å, degrees): 6.5376 6.5376 8.6311 103.29 103.29 106.25
Closest atoms and distances in Å follow each position.
Sites, in units of the cell vectors:
Rb 0.3357 0.6643 0.2500  5 O 2.85-3.04
Rb 0.6643 0.3357 0.7500  5 O 2.85-3.04
Ac 0.0000 0.0000 0.5000  2 O 2.26
Ac 0.0000 0.0000 0.0000  2 O 2.26
V 0.6835 0.3165 0.2500  4 O 1.74-1.76
V 0.3165 0.6835 0.7500  4 O 1.74-1.76
O 0.0631 0.9369 0.2500  2 Ac 2.26
O 0.9369 0.0631 0.7500  2 Ac 2.26
O 0.8701 0.3072 0.1329  1 V 1.76
O 0.1299 0.6928 0.8671  1 V 1.76
O 0.6928 0.1299 0.3671  1 V 1.76
O 0.3072 0.8701 0.6329  1 V 1.76
O 0.7555 0.5875 0.3834  1 V 1.74
O 0.2445 0.4125 0.6166  1 V 1.74
O 0.4125 0.2445 0.1166  1 V 1.74
O 0.5875 0.7555 0.8834  1 V 1.74

Properties
* SG: C2/c (15)



2.
The following is a DFT calculation (PBE+U) of a geometry-optimized Rb3AcV4O12 structure.

Lattice parameters (Å, degrees): 7.9190 7.9190 7.9190 104.59 104.59 104.59
Closest atoms and distances in Å follow each position.
Sites, in units of the cell vectors:
Rb 0.4947 0.5053 0.0000  6 O 2.83-3.04
Rb 0.5053 0.0000 0.4947  6 O 2.83-3.04
Rb 0.0000 0.4947 0.5053  6 O 2.83-3.04
Ac 0.0000 0.0000 0.0000  6 O 2.58
V 0.0092 0.9908 0.5000  3 O 1.66-1.76
V 0.9908 0.5000 0.0092  3 O 1.66-1.76
V 0.5000 0.0092 0.9908  3 O 1.66-1.76
V 0.5000 0.5000 0.5000  3 O 1.68
O 0.5000 0.3662 0.6338  1 V 1.68
O 0.8583 0.5000 0.1417  1 V 1.66
O 0.1417 0.8583 0.5000  1 V 1.66
O 0.5000 0.1417 0.8583  1 V 1.66
O 0.3372 0.0034 0.1062  1 V 1.76
O 0.1062 0.3372 0.0034  1 V 1.76
O 0.0034 0.1062 0.3372  1 V 1.76
O 0.6628 0.8938 0.9966  1 V 1.76
O 0.9966 0.6628 0.8938  1 V 1.76
O 0.8938 0.9966 0.6628  1 V 1.76
O 0.6338 0.5000 0.3662  1 V 1.68
O 0.3662 0.6338 0.5000  1 V 1.68

Properties
* SG: R32 (155)



3.
The following is a DFT calculation (PBE+U) of a geometry-optimized Rb2AcV2O6 structure.

Lattice parameters (Å, degrees): 6.3453 6.3453 7.4775 64.89 64.89 60.00
Closest atoms and distances in Å follow each position.
Sites, in units of the cell vectors:
Rb 0.7928 0.7928 0.6215  9 O 3.10-3.29
Rb 0.2072 0.2072 0.3785  9 O 3.10-3.29
Ac 0.0000 0.0000 0.0000  6 O 2.50
V 0.4233 0.4233 0.7301  3 O 1.76
V 0.5767 0.5767 0.2699  3 O 1.76
O 0.7436 0.7436 0.2475  1 V 1.76
O 0.2652 0.7436 0.2475  1 V 1.76
O 0.7436 0.2652 0.2475  1 V 1.76
O 0.2564 0.7348 0.7525  1 V 1.76
O 0.7348 0.2564 0.7525  1 V 1.76
O 0.2564 0.2564 0.7525  1 V 1.76

Properties
* SG: R-3m (166)



4.
The following is a DFT calculation (PBE+U) of a geometry-optimized Rb2AcV2O7 structure.

Lattice parameters (Å, degrees): 6.4266 6.4266 8.4573 67.67 67.67 60.00
Closest atoms and distances in Å follow each position.
Sites, in units of the cell vectors:
Rb 0.7572 0.7572 0.7285  9 O 3.24-3.55
Rb 0.2428 0.2428 0.2715  9 O 3.24-3.55
Ac 0.5000 0.5000 0.5000  6 O 2.48
V 0.9205 0.9205 0.2384  4 O 1.76-1.81
V 0.0795 0.0795 0.7616  4 O 1.76-1.81
O 0.1928 0.7457 0.3161  1 V 1.76
O 0.7454 0.1928 0.3161  1 V 1.76
O 0.7457 0.7454 0.3161  1 V 1.76
O 0.2546 0.2543 0.6839  1 V 1.76
O 0.8072 0.2546 0.6839  1 V 1.76
O 0.0000 0.0000 0.0000  2 V 1.81
O 0.2543 0.8072 0.6839  1 V 1.76

Properties
* SG: R-3m (166)



5.
The following is a DFT calculation (PBE+U) of a geometry-optimized Rb3Ac3VO8 structure.

Lattice parameters (Å, degrees): 7.3815 7.3365 7.9077 117.90 90.00 120.20
Closest atoms and distances in Å follow each position.
Sites, in units of the cell vectors:
Rb 0.0000 0.0000 0.0000  6 O 2.92-3.00
Rb 0.0000 0.5000 0.0000  6 O 2.97-3.00
Rb 0.5000 0.5000 0.0000  6 O 2.97-3.00
Ac 0.5000 0.0000 0.5000  6 O 2.47-2.55
Ac 0.5000 0.5000 0.5000  6 O 2.47-2.59
Ac 0.0000 0.5000 0.5000  6 O 2.47-2.59
V 0.0000 0.0000 0.5000  6 O 1.99-2.12
O 0.2681 0.5362 0.3093  3 Ac 2.47
O 0.7319 0.4638 0.6907  3 Ac 2.47
O 0.8133 0.6266 0.3415  1 V 1.99
O 0.1867 0.3734 0.6585  1 V 1.99
O 0.8036 0.0340 0.3365  1 V 2.12
O 0.1964 0.9660 0.6635  1 V 2.12
O 0.2305 0.0340 0.3365  1 V 2.12
O 0.7695 0.9660 0.6635  1 V 2.12

Properties
* SG: C2/m (12)



6.
The following is a DFT calculation (PBE+U) of a geometry-optimized Rb2AcVO4 structure.

Lattice parameters (Å, degrees): 5.9788 5.9788 5.9788 98.35 115.30 115.30
Closest atoms and distances in Å follow each position.
Sites, in units of the cell vectors:
Rb 0.5000 0.7500 0.2500  8 O 3.07-3.12
Rb 0.0000 0.0000 0.0000  4 O 2.81
Ac 0.5000 0.2500 0.7500  4 O 2.41
V 0.0000 0.5000 0.5000  4 O 1.90
O 0.6054 0.3226 0.4114  1 V 1.90
O 0.0889 0.2829 0.6774  1 V 1.90
O 0.9111 0.5886 0.1940  1 V 1.90
O 0.3946 0.8060 0.7171  1 V 1.90

Properties
* SG: I-4 (82)



7.
The following is a DFT calculation (PBE+U) of a geometry-optimized Rb3Ac3WO8 structure.

Lattice parameters (Å, degrees): 7.4245 7.4761 7.9155 118.12 90.00 119.77
Closest atoms and distances in Å follow each position.
Sites, in units of the cell vectors:
Rb 0.0000 0.0000 0.0000  6 O 3.00-3.02
Rb 0.0000 0.5000 0.0000  6 O 2.98-3.02
Rb 0.5000 0.5000 0.0000  6 O 2.98-3.02
Ac 0.5000 0.0000 0.5000  6 O 2.48-2.57
Ac 0.5000 0.5000 0.5000  6 O 2.49-2.58
Ac 0.0000 0.5000 0.5000  6 O 2.49-2.58
W 0.0000 0.0000 0.5000  6 O 2.13-2.24
O 0.2727 0.5454 0.3135  3 Ac 2.48-2.49
O 0.7273 0.4546 0.6865  3 Ac 2.48-2.49
O 0.7950 0.5899 0.3326  1 W 2.24
O 0.2050 0.4101 0.6674  1 W 2.24
O 0.8031 0.0326 0.3352  1 W 2.13
O 0.1969 0.9674 0.6648  1 W 2.13
O 0.2295 0.0326 0.3352  1 W 2.13
O 0.7705 0.9674 0.6648  1 W 2.13

Properties
* SG: C2/m (12)



8.
The following is a DFT calculation (PBE+U) of a geometry-optimized RbAcWO5 structure.

Lattice parameters (Å, degrees): 6.8447 6.8447 8.6907 104.10 104.10 105.81
Closest atoms and distances in Å follow each position.
Sites, in units of the cell vectors:
Rb 0.3212 0.6788 0.2500  1 O 2.69
Rb 0.6788 0.3212 0.7500  1 O 2.69
Ac 0.0000 0.0000 0.5000  2 O 2.32
Ac 0.0000 0.0000 0.0000  2 O 2.32
W 0.6803 0.3197 0.2500  4 O 1.82
W 0.3197 0.6803 0.7500  4 O 1.82
O 0.0748 0.9252 0.2500  2 Ac 2.32
O 0.9252 0.0748 0.7500  2 Ac 2.32
O 0.8667 0.3118 0.1320  1 W 1.82
O 0.1333 0.6882 0.8680  1 W 1.82
O 0.6882 0.1333 0.3680  1 W 1.82
O 0.3118 0.8667 0.6320  1 W 1.82
O 0.7525 0.5890 0.3950  1 W 1.82
O 0.2475 0.4110 0.6050  1 W 1.82
O 0.4110 0.2475 0.1050  1 W 1.82
O 0.5890 0.7525 0.8950  1 W 1.82

Properties
* SG: C2/c (15)



9.
The following is a DFT calculation (PBE+U) of a geometry-optimized RbAcW2O8 structure.

Lattice parameters (Å, degrees): 6.3024 6.3024 8.1904 90.00 90.00 120.00
Closest atoms and distances in Å follow each position.
Sites, in units of the cell vectors:
Rb 0.0000 0.0000 0.0000  6 O 3.14
Ac 0.0000 0.0000 0.5000  6 O 2.49
W 0.6667 0.3333 0.2317  4 O 1.78-1.83
W 0.3333 0.6667 0.7683  4 O 1.78-1.83
O 0.3333 0.6667 0.9853  1 W 1.78
O 0.3498 0.1766 0.3051  1 W 1.83
O 0.8234 0.1732 0.3051  1 W 1.83
O 0.6667 0.3333 0.0147  1 W 1.78
O 0.1766 0.8268 0.6949  1 W 1.83
O 0.6502 0.8234 0.6949  1 W 1.83
O 0.1732 0.3498 0.6949  1 W 1.83
O 0.8268 0.6502 0.3051  1 W 1.83

Properties
* SG: P-3 (147)



10.
The following is a DFT calculation (PBE+U) of a geometry-optimized Rb2AcWO6 structure.

Lattice parameters (Å, degrees): 6.2991 6.2991 6.2990 60.00 60.00 60.00
Closest atoms and distances in Å follow each position.
Sites, in units of the cell vectors:
Rb 0.5662 0.5662 0.3015  12 O 3.16-3.17
Rb 0.0661 0.0661 0.8016  12 O 3.16-3.17
Ac 0.8162 0.8162 0.5515  6 O 2.50
W 0.3162 0.3162 0.0515  6 O 1.96
O 0.5360 0.0972 0.2714  1 W 1.96
O 0.0971 0.0954 0.2714  1 W 1.96
O 0.0954 0.5361 0.2713  1 W 1.96
O 0.5354 0.5367 0.8316  1 W 1.96
O 0.5367 0.0962 0.8317  1 W 1.96
O 0.0963 0.5354 0.8316  1 W 1.96

Properties
* SG: R-3 (148)



For reference, spin magnetization by record: 0.406, 2.000, 1.000, 1.000, 1.000, 0.039, 2.000, 0.000, 0.000, 1.073 μB/f.u..
For reference, DFT total energy by record: -6.877, -6.568, -6.745, -6.893, -6.527, -6.170, -6.549, -7.041, -7.294, -6.500 eV/atom.